Compound: SrAl2Co
Source: Alexandria via LeMat-Bulk
Functional: PBE-GGA
Structure: relaxed

a b c (Å): 6.205 6.205 6.205
angles (deg): 40.00 40.00 40.00
Sites, in units of the cell vectors:
Sr  0.000  0.000  0.000
Al  0.191  0.191  0.191
Al  0.475  0.475  0.475
Co  0.820  0.820  0.820

formation enthalpy at 0 K	-0.24	eV per atom
space-group type	R3m